Compound: ZrInB3
Source: Alexandria via LeMat-Bulk
Functional: GGA-PBE
Structure: optimized geometry

Values from the calculation:
As for the energy above the lowest structure with this stoichiometry: 0.000 eV per atom. As for the total energy: -4.637 eV/atom. Its size of the total moment is 0.000 μB per atom. Its calculated volume is 91.5 Å³ per cell.

Cell lengths 4.5064, 4.5064, 4.5064 Å; angles 90.00, 90.00, 90.00 degrees
With the nearest neighbours (Å) after each atom.
Space group Pm-3m (No. 221)
One atom of each set of equivalent atoms:
Zr 0.0000 0.0000 0.0000 [1 per cell]  6 B 2.25
In 0.5000 0.5000 0.5000 [1 per cell]  12 B 3.19
B 0.0000 0.0000 0.5000 [3 per cell]  2 Zr 2.25